Compound: TiIr2PbAu
Source: Alexandria via LeMat-Bulk
Functional: SCAN
Structure: PBEsol geometry

```
TiIr2PbAu
1.0
4.8789 0.0000 0.0000
0.0000 4.8789 0.0000
0.0000 0.0000 4.9583
Ti Ir Pb Au
1 2 1 1
direct
0.0000 0.0000 0.0000
0.0000 0.5000 0.5000
0.5000 0.0000 0.5000
0.0000 0.0000 0.5000
0.5000 0.5000 0.0000
```

Formation energy, eV/atom: 1.988
Uncorrected energy, eV per atom: -58.645
V, Å³/cell: 118.0
Space group: P4/mmm (123)
Magnetic moment, μB per cell: 1.89
Fermi-level density of states, states/eV/cell: 5.428



Compound: Rb3HgO
Source: Alexandria via LeMat-Bulk
Functional: SCAN
Structure: PBEsol geometry

```
Rb3HgO
1.0
5.5903 0.0000 0.0000
0.0000 5.5903 0.0000
0.0000 0.0000 5.5903
Rb Hg O
3 1 1
direct
0.0000 0.0000 0.5000
0.0000 0.5000 0.0000
0.5000 0.0000 0.0000
0.5000 0.5000 0.5000
0.0000 0.0000 0.0000
```

Uncorrected energy, eV per atom: -28.011
ΔE_f (raw), eV/atom: -0.688
V, Å³/cell: 174.7
Space group: Pm-3m (221)
Magnetic moment, μB per cell: 0.04
Fermi-level density of states, states/eV/cell: 3.059



Compound: Ba2FeAu
Source: Alexandria via LeMat-Bulk
Functional: SCAN
Structure: PBEsol geometry

```
Ba2FeAu
1.0
4.5797 0.0000 0.0000
0.0000 4.5797 0.0000
0.0000 0.0000 6.4879
Ba Fe Au
2 1 1
direct
0.0000 0.0000 0.0000
0.5000 0.5000 0.4972
0.5000 0.5000 0.9962
0.0000 0.0000 0.5004
```

Formation energy, eV/atom: 0.089
Uncorrected energy, eV per atom: -41.508
V, Å³/cell: 136.1
Space group: P4mm (99)
Magnetic moment, μB per cell: 2.56
Fermi-level density of states, states/eV/cell: 2.608



Compound: MgPtW2
Source: Alexandria via LeMat-Bulk
Functional: SCAN
Structure: PBEsol geometry

```
MgPtW2
1.0
2.6118 -4.4235 0.0000
2.6118 4.4235 0.0000
0.0000 0.0000 2.6957
Mg Pt W
1 1 2
direct
0.0000 0.0000 0.0000
0.5000 0.5000 0.0000
0.0000 0.5000 0.5000
0.5000 0.0000 0.5000
```

Formation energy, eV/atom: 0.091
Uncorrected energy, eV per atom: -53.544
V, Å³/cell: 62.3
Space group: Cmmm (65)
Magnetic moment, μB per cell: 0.00
Fermi-level density of states, states/eV/cell: 2.217



Compound: TlMo3Pb
Source: Alexandria via LeMat-Bulk
Functional: SCAN
Structure: PBEsol geometry

```
TlMo3Pb
1.0
4.9569 0.0000 0.0000
0.0000 4.9569 0.0000
0.0000 0.0000 4.9569
Tl Mo Pb
1 3 1
direct
0.0000 0.0000 0.0000
0.0000 0.5000 0.5000
0.5000 0.0000 0.5000
0.5000 0.5000 0.0000
0.5000 0.5000 0.5000
```

Formation energy, eV/atom: 2.528
Uncorrected energy, eV per atom: -48.031
V, Å³/cell: 121.8
Space group: Pm-3m (221)
Magnetic moment, μB per cell: 0.00
Fermi-level density of states, states/eV/cell: 5.102



Compound: Sn2Sb2Pb
Source: Alexandria via LeMat-Bulk
Functional: SCAN
Structure: PBEsol geometry

```
Sn2Sb2Pb
1.0
-2.1427 2.1427 7.9217
2.1427 -2.1427 7.9217
2.1427 2.1427 -7.9217
Sn Sb Pb
2 2 1
direct
0.2500 0.7500 0.5000
0.7500 0.2500 0.5000
0.0950 0.0950 0.0000
0.9050 0.9050 0.0000
0.5000 0.5000 0.0000
```

Uncorrected energy, eV per atom: -44.258
ΔE_f (raw), eV/atom: 0.171
V, Å³/cell: 145.5
Space group: I4/mmm (139)
Magnetic moment, μB per cell: 0.00
Fermi-level density of states, states/eV/cell: 2.697



Compound: LiYMn2
Source: Alexandria via LeMat-Bulk
Functional: SCAN
Structure: PBEsol geometry

```
LiYMn2
1.0
0.0000 3.2843 3.2843
3.2843 0.0000 3.2843
3.2843 3.2843 0.0000
Li Y Mn
1 1 2
direct
0.0000 0.0000 0.0000
0.5000 0.5000 0.5000
0.2500 0.2500 0.2500
0.7500 0.7500 0.7500
```

Formation energy, eV/atom: 0.212
Uncorrected energy, eV per atom: -16.473
V, Å³/cell: 70.9
Space group: Fm-3m (225)
Magnetic moment, μB per cell: 7.72
Fermi-level density of states, states/eV/cell: 4.536



Compound: TlTcRh3
Source: Alexandria via LeMat-Bulk
Functional: SCAN
Structure: PBEsol geometry

```
TlTcRh3
1.0
4.7975 0.0000 0.0000
0.0000 4.7975 0.0000
0.0000 0.0000 4.7975
Tl Tc Rh
1 1 3
direct
0.0000 0.0000 0.0000
0.5000 0.5000 0.5000
0.0000 0.0000 0.5000
0.0000 0.5000 0.0000
0.5000 0.0000 0.0000
```

Formation energy, eV/atom: 2.033
Uncorrected energy, eV per atom: -39.714
V, Å³/cell: 110.4
Space group: Pm-3m (221)
Magnetic moment, μB per cell: 6.13
Fermi-level density of states, states/eV/cell: 3.995



Compound: BSbS2Br
Source: Alexandria via LeMat-Bulk
Functional: SCAN
Structure: PBEsol geometry

```
BSbS2Br
1.0
4.8969 0.0000 0.0000
0.0000 4.8969 0.0000
0.0000 0.0000 4.2063
B Sb S Br
1 1 2 1
direct
0.0000 0.0000 0.0000
0.5000 0.5000 0.0000
0.0000 0.5000 0.5000
0.5000 0.0000 0.5000
0.0000 0.0000 0.5000
```

Uncorrected energy, eV per atom: -15.134
ΔE_f (raw), eV/atom: 1.547
V, Å³/cell: 100.9
Space group: P4/mmm (123)
Magnetic moment, μB per cell: 0.00
Fermi-level density of states, states/eV/cell: 3.142



Compound: SmScO3
Source: Alexandria via LeMat-Bulk
Functional: SCAN
Structure: PBEsol geometry

```
SmScO3
1.0
5.7522 0.0000 0.0000
0.0000 7.9233 0.0000
0.0000 0.0000 5.4886
Sm Sc O
4 4 12
direct
0.0611 0.2500 0.0180
0.4389 0.7500 0.5180
0.5611 0.2500 0.4820
0.9389 0.7500 0.9820
0.0000 0.0000 0.5000
0.0000 0.5000 0.5000
0.5000 0.0000 0.0000
0.5000 0.5000 0.0000
0.0470 0.7500 0.3815
0.1972 0.5622 0.8047
0.1972 0.9378 0.8047
0.3028 0.0622 0.3047
0.3028 0.4378 0.3047
0.4530 0.2500 0.8815
0.5470 0.7500 0.1185
0.6972 0.5622 0.6953
0.6972 0.9378 0.6953
0.8028 0.0622 0.1953
0.8028 0.4378 0.1953
0.9530 0.2500 0.6185
```

Uncorrected energy, eV per atom: -19.338
ΔE_f (raw), eV/atom: -3.864
V, Å³/cell: 250.2
Space group: Pnma (62)
Magnetic moment, μB per cell: 0.00
Fermi-level density of states, states/eV/cell: 0.000



Compound: TiSiRhW2
Source: Alexandria via LeMat-Bulk
Functional: SCAN
Structure: PBEsol geometry

```
TiSiRhW2
1.0
4.4568 0.0000 0.0000
0.0000 4.4568 0.0000
0.0000 0.0000 4.2855
Ti Si Rh W
1 1 1 2
direct
0.0000 0.0000 0.0000
0.5000 0.5000 0.5000
0.5000 0.5000 0.0000
0.0000 0.5000 0.5000
0.5000 0.0000 0.5000
```

Uncorrected energy, eV per atom: -39.109
ΔE_f (raw), eV/atom: 0.729
V, Å³/cell: 85.1
Space group: P4/mmm (123)
Magnetic moment, μB per cell: 0.00
Fermi-level density of states, states/eV/cell: 6.114



Compound: TaMn2Hg
Source: Alexandria via LeMat-Bulk
Functional: SCAN
Structure: PBEsol geometry

```
TaMn2Hg
1.0
3.1483 0.0000 0.0000
0.0000 3.1483 0.0000
0.0000 0.0000 6.0297
Ta Mn Hg
1 2 1
direct
0.0000 0.0000 0.0000
0.5000 0.5000 0.2245
0.5000 0.5000 0.7755
0.0000 0.0000 0.5000
```

Formation energy, eV/atom: -0.023
Uncorrected energy, eV per atom: -42.838
V, Å³/cell: 59.8
Space group: P4/mmm (123)
Magnetic moment, μB per cell: 5.23
Fermi-level density of states, states/eV/cell: 2.677